No. 1
# Dy3Mg3Al2Ag | the Open Quantum Materials Database | PBE | optimized geometry
# - total magnetic moment (μB per formula unit) = 0.00
# - total energy (eV/atom) = -3.52
data_Dy3Mg3Al2Ag
_chemical_formula_sum 'Dy3 Mg3 Al2 Ag1'
_space_group_name_H-M_alt 'P 1'
_space_group_IT_number 1
_cell_length_a 7.448
_cell_length_b 7.448
_cell_length_c 4.385
_cell_angle_alpha 90.00
_cell_angle_beta 90.00
_cell_angle_gamma 120.00
loop_
_space_group_symop_operation_xyz
'x,y,z'
loop_
_atom_site_label
_atom_site_fract_x
_atom_site_fract_y
_atom_site_fract_z
_atom_site_occupancy
Dy1 0.000 0.419 0.000 1
Dy2 0.419 0.000 0.000 1
Dy3 0.581 0.581 0.000 1
Mg1 0.000 0.756 0.500 1
Mg2 0.244 0.244 0.500 1
Mg3 0.756 0.000 0.500 1
Al1 0.333 0.667 0.500 1
Al2 0.667 0.333 0.500 1
Ag1 0.000 0.000 0.000 1

No. 2
# Nd2DyAl7Ag2 | the Open Quantum Materials Database | PBE | optimized geometry
# - total magnetic moment (μB per formula unit) = 0.00
# - total energy (eV/atom) = -4.27
data_Nd2DyAl7Ag2
_chemical_formula_sum 'Nd2 Dy1 Al7 Ag2'
_space_group_name_H-M_alt 'P 1'
_space_group_IT_number 1
_cell_length_a 9.454
_cell_length_b 9.454
_cell_length_c 9.454
_cell_angle_alpha 34.61
_cell_angle_beta 34.61
_cell_angle_gamma 34.61
loop_
_space_group_symop_operation_xyz
'x,y,z'
loop_
_atom_site_label
_atom_site_fract_x
_atom_site_fract_y
_atom_site_fract_z
_atom_site_occupancy
Nd1 0.142 0.142 0.142 1
Nd2 0.858 0.858 0.858 1
Dy1 0.000 0.000 0.000 1
Al1 0.075 0.586 0.586 1
Al2 0.414 0.414 0.925 1
Al3 0.414 0.925 0.414 1
Al4 0.500 0.500 0.500 1
Al5 0.586 0.075 0.586 1
Al6 0.586 0.586 0.075 1
Al7 0.925 0.414 0.414 1
Ag1 0.336 0.336 0.336 1
Ag2 0.664 0.664 0.664 1

No. 3
# NdDy2Al3NiAg2 | the Open Quantum Materials Database | PBE | optimized geometry
# - total magnetic moment (μB per formula unit) = 0.00
# - total energy (eV/atom) = -4.52
data_NdDy2Al3NiAg2
_chemical_formula_sum 'Nd1 Dy2 Al3 Ni1 Ag2'
_space_group_name_H-M_alt 'P 1'
_space_group_IT_number 1
_cell_length_a 4.176
_cell_length_b 7.231
_cell_length_c 7.231
_cell_angle_alpha 119.99
_cell_angle_beta 90.00
_cell_angle_gamma 90.00
loop_
_space_group_symop_operation_xyz
'x,y,z'
loop_
_atom_site_label
_atom_site_fract_x
_atom_site_fract_y
_atom_site_fract_z
_atom_site_occupancy
Nd1 0.000 0.000 0.000 1
Dy1 0.000 0.400 0.795 1
Dy2 0.000 0.795 0.400 1
Al1 0.500 0.182 0.402 1
Al2 0.500 0.402 0.182 1
Al3 0.500 0.622 0.622 1
Ni1 0.000 0.409 0.409 1
Ag1 0.500 0.070 0.726 1
Ag2 0.500 0.726 0.070 1

No. 4
# DyTm2Al3NiAg2 | the Open Quantum Materials Database | PBE | optimized geometry
# - total magnetic moment (μB per formula unit) = 0.00
# - total energy (eV/atom) = -4.50
data_DyTm2Al3NiAg2
_chemical_formula_sum 'Dy1 Tm2 Al3 Ni1 Ag2'
_space_group_name_H-M_alt 'P 1'
_space_group_IT_number 1
_cell_length_a 4.106
_cell_length_b 7.120
_cell_length_c 7.120
_cell_angle_alpha 120.15
_cell_angle_beta 90.00
_cell_angle_gamma 90.00
loop_
_space_group_symop_operation_xyz
'x,y,z'
loop_
_atom_site_label
_atom_site_fract_x
_atom_site_fract_y
_atom_site_fract_z
_atom_site_occupancy
Dy1 0.000 0.000 0.000 1
Tm1 0.000 0.203 0.600 1
Tm2 0.000 0.600 0.203 1
Al1 0.500 0.375 0.375 1
Al2 0.500 0.600 0.824 1
Al3 0.500 0.824 0.600 1
Ni1 0.000 0.597 0.597 1
Ag1 0.500 0.270 0.932 1
Ag2 0.500 0.932 0.270 1

No. 5
# Dy2TmAl3AgPd2 | the Open Quantum Materials Database | PBE | optimized geometry
# - total magnetic moment (μB per formula unit) = 0.04
# - total energy (eV/atom) = -4.94
data_Dy2TmAl3AgPd2
_chemical_formula_sum 'Dy2 Tm1 Al3 Ag1 Pd2'
_space_group_name_H-M_alt 'P 1'
_space_group_IT_number 1
_cell_length_a 3.859
_cell_length_b 7.368
_cell_length_c 7.368
_cell_angle_alpha 119.88
_cell_angle_beta 90.00
_cell_angle_gamma 90.00
loop_
_space_group_symop_operation_xyz
'x,y,z'
loop_
_atom_site_label
_atom_site_fract_x
_atom_site_fract_y
_atom_site_fract_z
_atom_site_occupancy
Dy1 0.000 0.207 0.793 1
Dy2 0.000 0.793 0.207 1
Tm1 0.000 0.622 0.622 1
Al1 0.500 0.209 0.463 1
Al2 0.500 0.463 0.209 1
Al3 0.500 0.952 0.952 1
Ag1 0.000 0.209 0.209 1
Pd1 0.500 0.542 0.872 1
Pd2 0.500 0.872 0.542 1

No. 6
# DyY2Al3AgPd2 | the Open Quantum Materials Database | PBE | optimized geometry
# - total magnetic moment (μB per formula unit) = 0.01
# - total energy (eV/atom) = -5.37
data_DyY2Al3AgPd2
_chemical_formula_sum 'Dy1 Y2 Al3 Ag1 Pd2'
_space_group_name_H-M_alt 'P 1'
_space_group_IT_number 1
_cell_length_a 3.879
_cell_length_b 7.392
_cell_length_c 7.392
_cell_angle_alpha 119.83
_cell_angle_beta 90.00
_cell_angle_gamma 90.00
loop_
_space_group_symop_operation_xyz
'x,y,z'
loop_
_atom_site_label
_atom_site_fract_x
_atom_site_fract_y
_atom_site_fract_z
_atom_site_occupancy
Dy1 0.000 0.000 0.000 1
Y1 0.000 0.416 0.830 1
Y2 0.000 0.830 0.416 1
Al1 0.500 0.161 0.416 1
Al2 0.500 0.416 0.161 1
Al3 0.500 0.669 0.669 1
Ag1 0.000 0.414 0.414 1
Pd1 0.500 0.081 0.751 1
Pd2 0.500 0.751 0.081 1

No. 7
# Pr2DyAl7Ag2 | the Open Quantum Materials Database | PBE | optimized geometry
# - total magnetic moment (μB per formula unit) = 0.00
# - total energy (eV/atom) = -4.27
data_Pr2DyAl7Ag2
_chemical_formula_sum 'Pr2 Dy1 Al7 Ag2'
_space_group_name_H-M_alt 'P 1'
_space_group_IT_number 1
_cell_length_a 9.482
_cell_length_b 9.482
_cell_length_c 9.482
_cell_angle_alpha 34.61
_cell_angle_beta 34.61
_cell_angle_gamma 34.61
loop_
_space_group_symop_operation_xyz
'x,y,z'
loop_
_atom_site_label
_atom_site_fract_x
_atom_site_fract_y
_atom_site_fract_z
_atom_site_occupancy
Pr1 0.142 0.142 0.142 1
Pr2 0.858 0.858 0.858 1
Dy1 0.000 0.000 0.000 1
Al1 0.074 0.586 0.586 1
Al2 0.414 0.414 0.926 1
Al3 0.414 0.926 0.414 1
Al4 0.500 0.500 0.500 1
Al5 0.586 0.074 0.586 1
Al6 0.586 0.586 0.074 1
Al7 0.926 0.414 0.414 1
Ag1 0.336 0.336 0.336 1
Ag2 0.664 0.664 0.664 1

No. 8
# TbDy2Al3AgPt2 | the Open Quantum Materials Database | PBE | optimized geometry
# - total magnetic moment (μB per formula unit) = 0.00
# - total energy (eV/atom) = -5.32
data_TbDy2Al3AgPt2
_chemical_formula_sum 'Tb1 Dy2 Al3 Ag1 Pt2'
_space_group_name_H-M_alt 'P 1'
_space_group_IT_number 1
_cell_length_a 3.975
_cell_length_b 7.298
_cell_length_c 7.298
_cell_angle_alpha 119.99
_cell_angle_beta 90.00
_cell_angle_gamma 90.00
loop_
_space_group_symop_operation_xyz
'x,y,z'
loop_
_atom_site_label
_atom_site_fract_x
_atom_site_fract_y
_atom_site_fract_z
_atom_site_occupancy
Tb1 0.000 0.000 0.000 1
Dy1 0.000 0.167 0.584 1
Dy2 0.000 0.584 0.167 1
Al1 0.500 0.328 0.328 1
Al2 0.500 0.583 0.839 1
Al3 0.500 0.839 0.583 1
Ag1 0.000 0.582 0.582 1
Pt1 0.500 0.251 0.916 1
Pt2 0.500 0.916 0.251 1

No. 9
# DyTm2Al3AgPt2 | the Open Quantum Materials Database | PBE | optimized geometry
# - total magnetic moment (μB per formula unit) = 0.00
# - total energy (eV/atom) = -5.30
data_DyTm2Al3AgPt2
_chemical_formula_sum 'Dy1 Tm2 Al3 Ag1 Pt2'
_space_group_name_H-M_alt 'P 1'
_space_group_IT_number 1
_cell_length_a 3.872
_cell_length_b 7.326
_cell_length_c 7.326
_cell_angle_alpha 120.21
_cell_angle_beta 90.00
_cell_angle_gamma 90.00
loop_
_space_group_symop_operation_xyz
'x,y,z'
loop_
_atom_site_label
_atom_site_fract_x
_atom_site_fract_y
_atom_site_fract_z
_atom_site_occupancy
Dy1 0.000 0.000 0.000 1
Tm1 0.000 0.414 0.828 1
Tm2 0.000 0.828 0.414 1
Al1 0.500 0.155 0.415 1
Al2 0.500 0.415 0.155 1
Al3 0.500 0.673 0.673 1
Ag1 0.000 0.416 0.416 1
Pt1 0.500 0.082 0.745 1
Pt2 0.500 0.745 0.082 1

No. 10
# Dy2YAl3AgPt2 | the Open Quantum Materials Database | PBE | optimized geometry
# - total magnetic moment (μB per formula unit) = 0.00
# - total energy (eV/atom) = -5.52
data_Dy2YAl3AgPt2
_chemical_formula_sum 'Dy2 Y1 Al3 Ag1 Pt2'
_space_group_name_H-M_alt 'P 1'
_space_group_IT_number 1
_cell_length_a 3.911
_cell_length_b 7.358
_cell_length_c 7.358
_cell_angle_alpha 120.09
_cell_angle_beta 90.00
_cell_angle_gamma 90.00
loop_
_space_group_symop_operation_xyz
'x,y,z'
loop_
_atom_site_label
_atom_site_fract_x
_atom_site_fract_y
_atom_site_fract_z
_atom_site_occupancy
Dy1 0.000 0.208 0.792 1
Dy2 0.000 0.792 0.208 1
Y1 0.000 0.378 0.378 1
Al1 0.500 0.051 0.051 1
Al2 0.500 0.534 0.792 1
Al3 0.500 0.792 0.534 1
Ag1 0.000 0.794 0.794 1
Pt1 0.500 0.124 0.460 1
Pt2 0.500 0.460 0.124 1

No. 11
# TbDy2Al7Ag2 | the Open Quantum Materials Database | PBE | optimized geometry
# - total magnetic moment (μB per formula unit) = 0.01
# - total energy (eV/atom) = -4.27
data_TbDy2Al7Ag2
_chemical_formula_sum 'Tb1 Dy2 Al7 Ag2'
_space_group_name_H-M_alt 'P 1'
_space_group_IT_number 1
_cell_length_a 9.344
_cell_length_b 9.344
_cell_length_c 9.344
_cell_angle_alpha 34.56
_cell_angle_beta 34.56
_cell_angle_gamma 34.56
loop_
_space_group_symop_operation_xyz
'x,y,z'
loop_
_atom_site_label
_atom_site_fract_x
_atom_site_fract_y
_atom_site_fract_z
_atom_site_occupancy
Tb1 0.000 0.000 0.000 1
Dy1 0.142 0.142 0.142 1
Dy2 0.858 0.858 0.858 1
Al1 0.076 0.588 0.588 1
Al2 0.412 0.412 0.924 1
Al3 0.412 0.924 0.412 1
Al4 0.500 0.500 0.500 1
Al5 0.588 0.076 0.588 1
Al6 0.588 0.588 0.076 1
Al7 0.924 0.412 0.412 1
Ag1 0.336 0.336 0.336 1
Ag2 0.664 0.664 0.664 1

No. 12
# Tb2DyAl7Ag2 | the Open Quantum Materials Database | PBE | optimized geometry
# - total magnetic moment (μB per formula unit) = 0.01
# - total energy (eV/atom) = -4.27
data_Tb2DyAl7Ag2
_chemical_formula_sum 'Tb2 Dy1 Al7 Ag2'
_space_group_name_H-M_alt 'P 1'
_space_group_IT_number 1
_cell_length_a 9.353
_cell_length_b 9.353
_cell_length_c 9.353
_cell_angle_alpha 34.56
_cell_angle_beta 34.56
_cell_angle_gamma 34.56
loop_
_space_group_symop_operation_xyz
'x,y,z'
loop_
_atom_site_label
_atom_site_fract_x
_atom_site_fract_y
_atom_site_fract_z
_atom_site_occupancy
Tb1 0.142 0.142 0.142 1
Tb2 0.858 0.858 0.858 1
Dy1 0.000 0.000 0.000 1
Al1 0.076 0.588 0.588 1
Al2 0.412 0.412 0.924 1
Al3 0.412 0.924 0.412 1
Al4 0.500 0.500 0.500 1
Al5 0.588 0.076 0.588 1
Al6 0.588 0.588 0.076 1
Al7 0.924 0.412 0.412 1
Ag1 0.336 0.336 0.336 1
Ag2 0.664 0.664 0.664 1

Question: total energy of number 5 (Dy2TmAl3AgPd2)?
Answer: -4.94 eV/atom

Question: Among the records above, which one has the lowest total energy?
Answer: Dy2YAl3AgPt2

Question: Which formula does entry 6 have?
Answer: DyY2Al3AgPd2